The following is a GGA-PBE calculation of PRu after structural relaxation, from the Alexandria database.

Output
The calculation puts the density of states at the Fermi level at 2.0 states/eV/cell. Its crystal system is orthorhombic. Its formation energy is -0.40 eV/atom. As for the space group: No. 19. For the total energy, the calculation gives -7.746 eV per atom.

Cell lengths 7.6054, 5.1337, 6.6632 Å; angles 90.00, 90.00, 90.00 degrees
With the nearest neighbours (Å) after each atom.
Sites, in units of the cell vectors:
1 P 0.6178 0.4685 0.3439  4 Ru 2.28-2.37
2 P 0.6717 0.0206 0.7081  3 Ru 2.19-2.27
3 P 0.1717 0.4794 0.2919  3 Ru 2.19-2.27
4 P 0.8822 0.5315 0.8439  4 Ru 2.28-2.37
5 P 0.3822 0.9685 0.1561  4 Ru 2.28-2.37
6 P 0.1178 0.0315 0.6561  4 Ru 2.28-2.37
7 P 0.8283 0.9794 0.2081  3 Ru 2.19-2.27
8 P 0.3283 0.5206 0.7919  3 Ru 2.19-2.27
9 Ru 0.1207 0.2910 0.9368  3 P 2.19-2.30
10 Ru 0.3922 0.9465 0.8127  4 P 2.24-2.37
11 Ru 0.6078 0.4465 0.6873  4 P 2.24-2.37
12 Ru 0.8922 0.5535 0.1873  4 P 2.24-2.37
13 Ru 0.8793 0.7910 0.5632  3 P 2.19-2.30
14 Ru 0.6207 0.2090 0.0632  3 P 2.19-2.30
15 Ru 0.3793 0.7090 0.4368  3 P 2.19-2.30
16 Ru 0.1078 0.0535 0.3127  4 P 2.24-2.37